Crystalline Cs2Np2VSe6 at its relaxed geometry. Source: Alexandria via LeMat-Bulk, functional GGA-PBE.

Values from the calculation:
Its formation energy without anion corrections is -1.105 eV/atom. The total energy comes out at -0.466 Ry/atom. The calculation puts the total magnetization at 9.000 μB per formula unit.

abc: 6.9724 6.9724 8.9244
angles: 97.85 97.85 119.52
Site moments in Bohr magnetons follow the coordinates.
Sites, in units of the cell vectors:
Cs  0.8301  0.1699  0.0000  0.00
Cs  0.1699  0.8301  0.0000  0.00
Np  0.3328  0.6672  0.5000  3.60
Np  0.6672  0.3328  0.5000  3.60
V  0.0000  0.0000  0.5000  2.09
Se  0.7487  0.7487  0.6763  -0.11
Se  0.0637  0.3755  0.6782  -0.11
Se  0.2513  0.2513  0.3237  -0.11
Se  0.3755  0.0637  0.6782  -0.11
Se  0.9363  0.6245  0.3218  -0.11
Se  0.6245  0.9363  0.3218  -0.11